## Ac6NiPt2 (PBE-GGA)

Data for a geometry-optimized Ac6NiPt2 structure.

```
18
Lattice="7.195 0.000 0.000 0.000 7.827 0.000 -6.328 0.000 11.063" Properties=species:S:1:pos:R:3 pbc="T T T"
Ac -0.950 0.385 2.780
Ac -4.114 3.529 8.312
Ac 1.307 5.309 0.885
Ac -1.857 6.430 6.416
Ac 2.365 1.428 0.752
Ac -0.799 2.485 6.284
Ac 1.666 5.341 4.779
Ac -1.498 6.398 10.311
Ac 2.725 1.396 4.647
Ac -0.440 2.517 10.179
Ac 4.981 4.298 2.751
Ac 1.817 7.442 8.283
Ni 0.000 0.000 0.000
Ni -3.164 3.913 5.532
Pt -2.529 0.908 8.596
Pt 0.635 3.006 3.064
Pt 0.232 4.821 7.999
Pt 3.396 6.919 2.467
```

Computed properties:
**Energy relative to the elements**: -0.6028 eV per atom
**Density**: 9.7 Mg/m³